1.
# RePPbS2

A relaxed structure of RePPbS2 (PBE-GGA, the Alexandria database).

Geometry as CIF:
```
data_RePPbS2
_chemical_formula_sum 'Re1 P1 Pb1 S2'
_cell_length_a 4.8380
_cell_length_b 4.8380
_cell_length_c 4.5592
_cell_angle_alpha 90.00
_cell_angle_beta 90.00
_cell_angle_gamma 90.00
_symmetry_space_group_name_H-M 'P 1'
_symmetry_Int_Tables_number 1
loop_
_symmetry_equiv_pos_as_xyz
'x,y,z'
loop_
_atom_site_label
_atom_site_type_symbol
_atom_site_fract_x
_atom_site_fract_y
_atom_site_fract_z
P1 P 0.0000 0.0000 0.5000
Pb1 Pb 0.5000 0.5000 0.5000
S1 S 0.5000 0.0000 0.0000
S2 S 0.0000 0.5000 0.0000
Re1 Re 0.0000 0.0000 0.0000
```

Properties
Excess energy over the best structure of this formula in the dataset: 0 meV/atom
Space-group type: No. 123
Formation energy without anion corrections: 0.247 eV per atom

=====

2.
# Hf2MgSc5

A relaxed structure of Hf2MgSc5 (PBE-GGA, the Alexandria database).

Geometry as CIF:
```
data_Hf2MgSc5
_chemical_formula_sum 'Hf4 Mg2 Sc10'
_cell_length_a 3.1922
_cell_length_b 13.2201
_cell_length_c 12.3820
_cell_angle_alpha 80.36
_cell_angle_beta 106.64
_cell_angle_gamma 131.18
_symmetry_space_group_name_H-M 'P 1'
_symmetry_Int_Tables_number 1
loop_
_symmetry_equiv_pos_as_xyz
'x,y,z'
loop_
_atom_site_label
_atom_site_type_symbol
_atom_site_fract_x
_atom_site_fract_y
_atom_site_fract_z
Mg1 Mg 0.8597 0.7576 0.7464
Mg2 Mg 0.1403 0.2424 0.2536
Sc1 Sc 0.3201 0.4808 0.3750
Sc2 Sc 0.6619 0.5104 0.8849
Sc3 Sc 0.8307 0.9800 0.6115
Sc4 Sc 0.6799 0.5192 0.6250
Sc5 Sc 0.1686 0.2352 0.7599
Sc6 Sc 0.3381 0.4896 0.1151
Sc7 Sc 0.1693 0.0200 0.3885
Sc8 Sc 0.0702 0.9801 0.8874
Sc9 Sc 0.8314 0.7648 0.2401
Sc10 Sc 0.9298 0.0199 0.1126
Hf1 Hf 0.4366 0.2694 0.5209
Hf2 Hf 0.5634 0.7306 0.4791
Hf3 Hf 0.0164 0.7493 0.0049
Hf4 Hf 0.9836 0.2507 0.9951
```

Properties
Space-group type: No. 2
Calculated formation energy: 0.0751 eV/atom

=====

3.
# Na2BeF4

A relaxed structure of Na2BeF4 (PBE-GGA, the Alexandria database).

Geometry as CIF:
```
data_Na2BeF4
_chemical_formula_sum 'Na8 Be4 F16'
_cell_length_a 4.9524
_cell_length_b 6.6272
_cell_length_c 11.0633
_cell_angle_alpha 90.00
_cell_angle_beta 90.00
_cell_angle_gamma 90.00
_symmetry_space_group_name_H-M 'P 1'
_symmetry_Int_Tables_number 1
loop_
_symmetry_equiv_pos_as_xyz
'x,y,z'
loop_
_atom_site_label
_atom_site_type_symbol
_atom_site_fract_x
_atom_site_fract_y
_atom_site_fract_z
Na1 Na 0.0132 0.7500 0.7213
Na2 Na 0.4868 0.7500 0.2213
Na3 Na 0.5000 0.0000 0.5000
Na4 Na 0.0000 0.5000 0.0000
Na5 Na 0.0000 0.0000 0.0000
Na6 Na 0.9868 0.2500 0.2787
Na7 Na 0.5132 0.2500 0.7787
Na8 Na 0.5000 0.5000 0.5000
F1 F 0.8049 0.5593 0.3397
F2 F 0.6938 0.7500 0.0373
F3 F 0.1938 0.2500 0.4627
F4 F 0.7416 0.2500 0.0936
F5 F 0.2416 0.7500 0.4064
F6 F 0.2584 0.7500 0.9064
F7 F 0.6951 0.9407 0.8397
F8 F 0.6951 0.5593 0.8397
F9 F 0.3062 0.2500 0.9627
F10 F 0.3049 0.4407 0.1603
F11 F 0.8049 0.9407 0.3397
F12 F 0.8062 0.7500 0.5373
F13 F 0.1951 0.4407 0.6603
F14 F 0.7584 0.2500 0.5936
F15 F 0.1951 0.0593 0.6603
F16 F 0.3049 0.0593 0.1603
Be1 Be 0.0720 0.2500 0.5954
Be2 Be 0.4280 0.2500 0.0954
Be3 Be 0.9280 0.7500 0.4046
Be4 Be 0.5720 0.7500 0.9046
```

Properties
Excess energy over the best structure of this formula in the dataset: 0 meV/atom
Space-group type: No. 62
Formation energy without anion corrections: -3.031 eV per atom

=====

4.
# Tb3Sm6Y2Mg

A relaxed structure of Tb3Sm6Y2Mg (PBE-GGA, the Alexandria database).

Geometry as CIF:
```
data_Tb3Sm6Y2Mg
_chemical_formula_sum 'Tb3 Sm6 Y2 Mg1'
_cell_length_a 6.2050
_cell_length_b 6.2050
_cell_length_c 11.7840
_cell_angle_alpha 95.05
_cell_angle_beta 95.05
_cell_angle_gamma 120.03
_symmetry_space_group_name_H-M 'P 1'
_symmetry_Int_Tables_number 1
loop_
_symmetry_equiv_pos_as_xyz
'x,y,z'
loop_
_atom_site_label
_atom_site_type_symbol
_atom_site_fract_x
_atom_site_fract_y
_atom_site_fract_z
Sm1 Sm 0.4138 0.0819 0.2486
Sm2 Sm 0.9181 0.5862 0.7514
Sm3 Sm 0.5862 0.9181 0.7514
Sm4 Sm 0.2500 0.2500 0.7501
Sm5 Sm 0.0819 0.4138 0.2486
Sm6 Sm 0.7500 0.7500 0.2499
Y1 Y 0.3334 0.6666 0.0000
Y2 Y 0.6666 0.3334 0.0000
Tb1 Tb 0.1664 0.8336 0.5000
Tb2 Tb 0.8336 0.1664 0.5000
Tb3 Tb 0.5000 0.5000 0.5000
Mg1 Mg 0.0000 0.0000 0.0000
```

Properties
Space-group type: No. 12
Calculated formation energy: 0.0217 eV/atom

=====

5.
# PAu2

A relaxed structure of PAu2 (PBE-GGA, the Alexandria database).

Geometry as CIF:
```
data_PAu2
_chemical_formula_sum 'P1 Au2'
_cell_length_a 4.2022
_cell_length_b 4.2022
_cell_length_c 3.2434
_cell_angle_alpha 90.00
_cell_angle_beta 90.00
_cell_angle_gamma 90.00
_symmetry_space_group_name_H-M 'P 1'
_symmetry_Int_Tables_number 1
loop_
_symmetry_equiv_pos_as_xyz
'x,y,z'
loop_
_atom_site_label
_atom_site_type_symbol
_atom_site_fract_x
_atom_site_fract_y
_atom_site_fract_z
Au1 Au 0.0000 0.5000 0.5000
Au2 Au 0.5000 0.0000 0.5000
P1 P 0.0000 0.0000 0.0000
```

Properties
Space-group type: No. 123
Calculated formation energy: 0.2181 eV/atom

=====

6.
# Ba2HgI6

A relaxed structure of Ba2HgI6 (PBE-GGA, the Alexandria database).

Geometry as CIF:
```
data_Ba2HgI6
_chemical_formula_sum 'Ba4 Hg2 I12'
_cell_length_a 7.9628
_cell_length_b 9.2583
_cell_length_c 10.6808
_cell_angle_alpha 90.00
_cell_angle_beta 91.96
_cell_angle_gamma 90.00
_symmetry_space_group_name_H-M 'P 1'
_symmetry_Int_Tables_number 1
loop_
_symmetry_equiv_pos_as_xyz
'x,y,z'
loop_
_atom_site_label
_atom_site_type_symbol
_atom_site_fract_x
_atom_site_fract_y
_atom_site_fract_z
I1 I 0.1587 0.3269 0.0579
I2 I 0.1644 0.3253 0.4490
I3 I 0.3413 0.8269 0.4421
I4 I 0.3356 0.8253 0.0510
I5 I 0.1123 0.0192 0.7507
I6 I 0.8413 0.6731 0.9421
I7 I 0.8356 0.6747 0.5510
I8 I 0.8877 0.9808 0.2493
I9 I 0.6123 0.4808 0.2507
I10 I 0.6587 0.1731 0.5579
I11 I 0.3877 0.5192 0.7493
I12 I 0.6644 0.1747 0.9490
Ba1 Ba 0.5482 0.8807 0.7516
Ba2 Ba 0.9518 0.3807 0.7484
Ba3 Ba 0.0482 0.6193 0.2516
Ba4 Ba 0.4518 0.1193 0.2484
Hg1 Hg 0.0000 0.0000 0.5000
Hg2 Hg 0.5000 0.5000 0.0000
```

Properties
Space-group type: No. 14
Formation energy without anion corrections: -1.260 eV per atom

=====

7.
# Cs3Cu4Te4

A relaxed structure of Cs3Cu4Te4 (PBE-GGA, the Alexandria database).

Geometry as CIF:
```
data_Cs3Cu4Te4
_chemical_formula_sum 'Cs3 Cu4 Te4'
_cell_length_a 4.4937
_cell_length_b 5.4472
_cell_length_c 15.1515
_cell_angle_alpha 100.35
_cell_angle_beta 98.53
_cell_angle_gamma 90.00
_symmetry_space_group_name_H-M 'P 1'
_symmetry_Int_Tables_number 1
loop_
_symmetry_equiv_pos_as_xyz
'x,y,z'
loop_
_atom_site_label
_atom_site_type_symbol
_atom_site_fract_x
_atom_site_fract_y
_atom_site_fract_z
Cu1 Cu 0.2544 0.2544 0.5088
Cu2 Cu 0.1128 0.6128 0.2257
Cu3 Cu 0.8872 0.3872 0.7743
Cu4 Cu 0.7456 0.7456 0.4912
Te1 Te 0.2039 0.7039 0.4078
Te2 Te 0.5707 0.5707 0.1415
Te3 Te 0.4293 0.4293 0.8585
Te4 Te 0.7961 0.2961 0.5922
Cs1 Cs 0.6550 0.1550 0.3101
Cs2 Cs 0.3450 0.8450 0.6899
Cs3 Cs 0.0000 0.0000 0.0000
```

Properties
Space-group type: No. 71
Formation energy without anion corrections: -0.420 eV per atom

=====

8.
# RePtS3

A relaxed structure of RePtS3 (PBE-GGA, the Alexandria database).

Geometry as CIF:
```
data_RePtS3
_chemical_formula_sum 'Re1 Pt1 S3'
_cell_length_a 4.5839
_cell_length_b 4.5839
_cell_length_c 4.5839
_cell_angle_alpha 90.00
_cell_angle_beta 90.00
_cell_angle_gamma 90.00
_symmetry_space_group_name_H-M 'P 1'
_symmetry_Int_Tables_number 1
loop_
_symmetry_equiv_pos_as_xyz
'x,y,z'
loop_
_atom_site_label
_atom_site_type_symbol
_atom_site_fract_x
_atom_site_fract_y
_atom_site_fract_z
Re1 Re 0.0000 0.0000 0.0000
S1 S 0.0000 0.0000 0.5000
S2 S 0.0000 0.5000 0.0000
S3 S 0.5000 0.0000 0.0000
Pt1 Pt 0.5000 0.5000 0.5000
```

Properties
Excess energy over the best structure of this formula in the dataset: 0 meV/atom
Space-group type: No. 221
Formation energy without anion corrections: 0.819 eV per atom

=====

9.
# PuSnSbN

A relaxed structure of PuSnSbN (PBE-GGA, the Alexandria database).

Geometry as CIF:
```
data_PuSnSbN
_chemical_formula_sum 'Pu1 Sn1 Sb1 N1'
_cell_length_a 3.1965
_cell_length_b 3.1965
_cell_length_c 9.2209
_cell_angle_alpha 99.98
_cell_angle_beta 99.98
_cell_angle_gamma 90.00
_symmetry_space_group_name_H-M 'P 1'
_symmetry_Int_Tables_number 1
loop_
_symmetry_equiv_pos_as_xyz
'x,y,z'
loop_
_atom_site_label
_atom_site_type_symbol
_atom_site_fract_x
_atom_site_fract_y
_atom_site_fract_z
N1 N 0.1533 0.1533 0.3065
Pu1 Pu 0.6154 0.6154 0.2308
Sn1 Sn 0.2806 0.2806 0.5612
Sb1 Sb 0.9629 0.9629 0.9257
```

Properties
Space-group type: No. 107
Formation energy without anion corrections: -0.432 eV per atom

=====

10.
# UCSe

A relaxed structure of UCSe (PBE-GGA, the Alexandria database).

Geometry as CIF:
```
data_UCSe
_chemical_formula_sum 'U1 C1 Se1'
_cell_length_a 3.4590
_cell_length_b 3.4590
_cell_length_c 5.3527
_cell_angle_alpha 108.85
_cell_angle_beta 108.85
_cell_angle_gamma 90.00
_symmetry_space_group_name_H-M 'P 1'
_symmetry_Int_Tables_number 1
loop_
_symmetry_equiv_pos_as_xyz
'x,y,z'
loop_
_atom_site_label
_atom_site_type_symbol
_atom_site_fract_x
_atom_site_fract_y
_atom_site_fract_z
C1 C 0.2528 0.2528 0.5057
Se1 Se 0.0349 0.0349 0.0699
U1 U 0.7122 0.7122 0.4245
```

Properties
Space-group type: No. 107
Formation energy without anion corrections: 0.029 eV per atom